# CaSmTh2Se4

An optimized crystal structure of CaSmTh2Se4 (GGA-PBE, the Alexandria database).

Total moment: 0.0 μB per cell
Formation energy (no corrections): -1684 meV/atom

Unit cell a=7.083 b=4.081 c=7.562 alpha=90.00 beta=108.13 gamma=90.00
Space group P2/m (No. 10)
One atom of each set of equivalent atoms:
Ca (0.000, 0.000, 0.000) [1 per cell]
Sm (0.500, 0.500, 0.000) [1 per cell]
Th (0.000, 0.500, 0.500) [1 per cell]
Th (0.500, 0.000, 0.500) [1 per cell]
Se (0.243, 0.500, 0.239) [2 per cell]
Se (0.250, 0.000, 0.759) [2 per cell]

=====

# CaSm2ThSe4

An optimized crystal structure of CaSm2ThSe4 (GGA-PBE, the Alexandria database).

Total moment: 0.0 μB per cell
Formation energy (no corrections): -1765 meV/atom

Unit cell a=7.187 b=4.150 c=7.349 alpha=90.00 beta=109.02 gamma=90.00
Space group P2/m (No. 10)
One atom of each set of equivalent atoms:
Ca (0.000, 0.000, 0.000) [1 per cell]
Sm (0.500, 0.000, 0.500) [1 per cell]
Sm (0.500, 0.500, 0.000) [1 per cell]
Th (0.000, 0.500, 0.500) [1 per cell]
Se (0.247, 0.500, 0.246) [2 per cell]
Se (0.250, 0.000, 0.756) [2 per cell]

=====

# CaSm2Tl3Se6

An optimized crystal structure of CaSm2Tl3Se6 (GGA-PBE, the Alexandria database).

Total moment: 0.0 μB per cell
Formation energy (no corrections): -1273 meV/atom

Unit cell a=7.431 b=12.872 c=7.899 alpha=90.00 beta=108.22 gamma=90.00
Space group C2/m (No. 12)
One atom of each set of equivalent atoms:
Ca (0.000, 0.000, 0.000) [2 per cell]
Sm (0.000, 0.333, 0.000) [4 per cell]
Tl (0.000, 0.166, 0.500) [4 per cell]
Tl (0.000, 0.500, 0.500) [2 per cell]
Se (0.232, 0.500, 0.213) [4 per cell]
Se (0.241, 0.169, 0.215) [8 per cell]

=====

# Ca3SmTm2Se6

An optimized crystal structure of Ca3SmTm2Se6 (GGA-PBE, the Alexandria database).

Total moment: 0.0 μB per cell
Formation energy (no corrections): -1856 meV/atom

Unit cell a=7.120 b=12.315 c=7.219 alpha=90.00 beta=109.24 gamma=90.00
Space group C2/m (No. 12)
One atom of each set of equivalent atoms:
Ca (0.000, 0.000, 0.000) [2 per cell]
Ca (0.000, 0.336, 0.000) [4 per cell]
Sm (0.000, 0.500, 0.500) [2 per cell]
Tm (0.000, 0.167, 0.500) [4 per cell]
Se (0.239, 0.000, 0.744) [4 per cell]
Se (0.247, 0.171, 0.255) [8 per cell]

=====

# CaSmTm2Se4

An optimized crystal structure of CaSmTm2Se4 (GGA-PBE, the Alexandria database).

Total moment: 0.0 μB per cell
Formation energy (no corrections): -1784 meV/atom

Unit cell a=7.097 b=4.073 c=7.115 alpha=90.00 beta=109.09 gamma=90.00
Space group P2/m (No. 10)
One atom of each set of equivalent atoms:
Ca (0.000, 0.000, 0.000) [1 per cell]
Sm (0.000, 0.500, 0.500) [1 per cell]
Tm (0.500, 0.000, 0.500) [1 per cell]
Tm (0.500, 0.500, 0.000) [1 per cell]
Se (0.261, 0.500, 0.251) [2 per cell]
Se (0.262, 0.000, 0.757) [2 per cell]

=====

# Ca3SmY3Se8

An optimized crystal structure of Ca3SmY3Se8 (GGA-PBE, the Alexandria database).

Total moment: 0.0 μB per cell
Formation energy (no corrections): -1920 meV/atom

Unit cell a=8.2306 b=8.2306 c=20.5295 alpha=90.00 beta=90.00 gamma=120.00
Space group R-3m (No. 166, hexagonal axes)
One atom of each set of equivalent atoms:
Ca (0.0000, 0.5000, 0.0000) [9 per cell]
Sm (0.0000, 0.0000, 0.5000) [3 per cell]
Y (0.0000, 0.5000, 0.5000) [9 per cell]
Se (0.0000, 0.0000, 0.2485) [6 per cell]
Se (0.0055, 0.5027, 0.7513) [18 per cell]

=====

# CaSmY4Se8

An optimized crystal structure of CaSmY4Se8 (GGA-PBE, the Alexandria database).

Total moment: 0.0 μB per cell
Formation energy (no corrections): -1810 meV/atom

Unit cell a=8.4790 b=8.4790 c=20.8960 alpha=90.00 beta=90.00 gamma=120.00
Space group R3m (No. 160, hexagonal axes)
One atom of each set of equivalent atoms:
Ca (0.0000, 0.0000, 0.0000) [3 per cell]
Sm (0.0000, 0.0000, 0.6278) [3 per cell]
Y (0.0000, 0.0000, 0.2511) [3 per cell]
Y (0.1694, 0.3387, 0.4583) [9 per cell]
Se (0.0000, 0.0000, 0.3838) [3 per cell]
Se (0.0000, 0.0000, 0.8656) [3 per cell]
Se (0.0229, 0.5115, 0.3806) [9 per cell]
Se (0.1756, 0.3512, 0.2049) [9 per cell]

=====

# Ca4Sm3YSe8

An optimized crystal structure of Ca4Sm3YSe8 (GGA-PBE, the Alexandria database).

Total moment: 0.0 μB per cell
Formation energy (no corrections): -1895 meV/atom

Unit cell a=8.2872 b=8.2872 c=20.7438 alpha=90.00 beta=90.00 gamma=120.00
Space group R-3m (No. 166, hexagonal axes)
One atom of each set of equivalent atoms:
Ca (0.0000, 0.0000, 0.0000) [3 per cell]
Ca (0.0000, 0.5000, 0.0000) [9 per cell]
Sm (0.0000, 0.5000, 0.5000) [9 per cell]
Y (0.0000, 0.0000, 0.5000) [3 per cell]
Se (0.0000, 0.0000, 0.2511) [6 per cell]
Se (0.0037, 0.5019, 0.2501) [18 per cell]

=====

# CaSm4YSe8

An optimized crystal structure of CaSm4YSe8 (GGA-PBE, the Alexandria database).

Total moment: 0.0 μB per cell
Formation energy (no corrections): -1804 meV/atom

Unit cell a=8.5981 b=8.5981 c=20.9514 alpha=90.00 beta=90.00 gamma=120.00
Space group R3m (No. 160, hexagonal axes)
One atom of each set of equivalent atoms:
Ca (0.0000, 0.0000, 0.0000) [3 per cell]
Sm (0.0000, 0.0000, 0.2491) [3 per cell]
Sm (0.1694, 0.3389, 0.4573) [9 per cell]
Y (0.0000, 0.0000, 0.6269) [3 per cell]
Se (0.0000, 0.0000, 0.3824) [3 per cell]
Se (0.0000, 0.0000, 0.8661) [3 per cell]
Se (0.0259, 0.5129, 0.3760) [9 per cell]
Se (0.1791, 0.3583, 0.2069) [9 per cell]

=====

# Ca3Sm3YSe8

An optimized crystal structure of Ca3Sm3YSe8 (GGA-PBE, the Alexandria database).

Total moment: 0.0 μB per cell
Formation energy (no corrections): -1929 meV/atom

Unit cell a=8.3146 b=8.3146 c=20.6541 alpha=90.00 beta=90.00 gamma=120.00
Space group R-3m (No. 166, hexagonal axes)
One atom of each set of equivalent atoms:
Ca (0.0000, 0.5000, 0.0000) [9 per cell]
Sm (0.0000, 0.5000, 0.5000) [9 per cell]
Y (0.0000, 0.0000, 0.5000) [3 per cell]
Se (0.0000, 0.0000, 0.2506) [6 per cell]
Se (0.0050, 0.5025, 0.2481) [18 per cell]

=====

# Ca3Sm4YSe8

An optimized crystal structure of Ca3Sm4YSe8 (GGA-PBE, the Alexandria database).

Total moment: 0.0 μB per cell
Formation energy (no corrections): -1871 meV/atom

Unit cell a=8.2970 b=8.2970 c=20.6018 alpha=90.00 beta=90.00 gamma=120.00
Space group R-3m (No. 166, hexagonal axes)
One atom of each set of equivalent atoms:
Ca (0.0000, 0.5000, 0.0000) [9 per cell]
Sm (0.0000, 0.0000, 0.5000) [3 per cell]
Sm (0.0000, 0.5000, 0.5000) [9 per cell]
Y (0.0000, 0.0000, 0.0000) [3 per cell]
Se (0.0000, 0.0000, 0.2510) [6 per cell]
Se (0.0013, 0.5007, 0.7481) [18 per cell]

=====

# Ca3Sm3ZnSe8

An optimized crystal structure of Ca3Sm3ZnSe8 (GGA-PBE, the Alexandria database).

Total moment: 0.0 μB per cell
Formation energy (no corrections): -1700 meV/atom

Unit cell a=8.2899 b=8.2899 c=20.5843 alpha=90.00 beta=90.00 gamma=120.00
Space group R-3m (No. 166, hexagonal axes)
One atom of each set of equivalent atoms:
Ca (0.0000, 0.5000, 0.0000) [9 per cell]
Sm (0.0000, 0.5000, 0.5000) [9 per cell]
Zn (0.0000, 0.0000, 0.5000) [3 per cell]
Se (0.0000, 0.0000, 0.2502) [6 per cell]
Se (0.0165, 0.5083, 0.2446) [18 per cell]

=====

# Ca3SnSe4

An optimized crystal structure of Ca3SnSe4 (GGA-PBE, the Alexandria database).

Total moment: 0.0 μB per cell
Formation energy (no corrections): -1608 meV/atom
Distance to the lowest polymorph of the same formula: 0.0147 eV per atom

Unit cell a=8.510 b=12.019 c=4.238 alpha=90.00 beta=90.00 gamma=90.00
Space group Cmmm (No. 65)
One atom of each set of equivalent atoms:
Ca (0.000, 0.000, 0.000) [2 per cell]
Ca (0.250, 0.250, 0.500) [4 per cell]
Sn (0.000, 0.500, 0.000) [2 per cell]
Se (0.000, 0.248, 0.000) [4 per cell]
Se (0.244, 0.000, 0.500) [4 per cell]

=====

# CaSnSe3

An optimized crystal structure of CaSnSe3 (GGA-PBE, the Alexandria database).

Total moment: 0.0 μB per cell
Formation energy (no corrections): -825 meV/atom

Unit cell a=6.8462 b=6.8462 c=6.9261 alpha=90.00 beta=90.00 gamma=120.00
Space group P-6c2 (No. 188)
One atom of each set of equivalent atoms:
Ca (0.0000, 0.0000, 0.0000) [2 per cell]
Sn (0.3333, 0.6667, 0.0000) [2 per cell]
Se (0.0082, 0.3622, 0.2500) [6 per cell]

=====

# CaSnSe3

An optimized crystal structure of CaSnSe3 (GGA-PBE, the Alexandria database).

Total moment: 0.0 μB per cell
Formation energy (no corrections): -518 meV/atom

Unit cell a=5.284 b=5.284 c=5.284 alpha=90.00 beta=90.00 gamma=90.00
Space group Pm-3m (No. 221)
One atom of each set of equivalent atoms:
Ca (0.000, 0.000, 0.000) [1 per cell]
Sn (0.500, 0.500, 0.500) [1 per cell]
Se (0.000, 0.500, 0.500) [3 per cell]

=====

# CaSn2Se

An optimized crystal structure of CaSn2Se (GGA-PBE, the Alexandria database).

Total moment: 0.0 μB per cell
Formation energy (no corrections): -390 meV/atom

Unit cell a=8.921 b=8.921 c=5.901 alpha=90.00 beta=90.00 gamma=90.00
Space group I-42d (No. 122)
One atom of each set of equivalent atoms:
Ca (0.000, 0.000, 0.000) [4 per cell]
Sn (0.211, 0.250, 0.625) [8 per cell]
Se (0.000, 0.000, 0.500) [4 per cell]

=====

# Ca3Sn5Se12

An optimized crystal structure of Ca3Sn5Se12 (GGA-PBE, the Alexandria database).

Total moment: 0.0 μB per cell
Formation energy (no corrections): -793 meV/atom

Unit cell a=16.777 b=16.777 c=16.777 alpha=90.00 beta=90.00 gamma=90.00
Space group Ia-3d (No. 230)
One atom of each set of equivalent atoms:
Ca (0.000, 0.250, 0.125) [24 per cell]
Sn (0.000, 0.000, 0.000) [16 per cell]
Sn (0.000, 0.250, 0.375) [24 per cell]
Se (0.023, 0.065, 0.654) [96 per cell]

=====

# Ca2SnSe4

An optimized crystal structure of Ca2SnSe4 (GGA-PBE, the Alexandria database).

Total moment: 0.0 μB per cell
Formation energy (no corrections): -1262 meV/atom

Unit cell a=7.515 b=11.910 c=4.186 alpha=90.00 beta=90.00 gamma=90.00
Space group Pbam (No. 55)
One atom of each set of equivalent atoms:
Ca (0.100, 0.186, 0.000) [4 per cell]
Sn (0.000, 0.500, 0.500) [2 per cell]
Se (0.124, 0.709, 0.500) [4 per cell]
Se (0.238, 0.448, 0.000) [4 per cell]